1.
# TlS2Cl GGA-PBE optimized geometry
# Excess energy over the best structure of this formula in the dataset   1.230 eV per formula unit
# E_form (uncorrected)   0.04 eV/atom
data_TlS2Cl
_space_group_name_H-M_alt 'R -3 m'
_space_group_IT_number 166
_space_group_name_Hall '-R 3 2"'
_cell_length_a 4.1017
_cell_length_b 4.1017
_cell_length_c 22.4292
_cell_angle_alpha 90.00
_cell_angle_beta 90.00
_cell_angle_gamma 120.00
loop_
_atom_site_label
_atom_site_type_symbol
_atom_site_fract_x
_atom_site_fract_y
_atom_site_fract_z
_atom_site_occupancy
Tl1 Tl 0.0000 0.0000 0.0000 1
S1 S 0.0000 0.0000 0.3959 1
Cl1 Cl 0.0000 0.0000 0.5000 1

***

2.
# PrHgPd GGA-PBE optimized geometry
# E_form   -0.68 eV/atom
# Excess energy over the best structure of this formula in the dataset   0.000 eV per formula unit
data_PrHgPd
_space_group_name_H-M_alt 'P -6 2 m'
_space_group_IT_number 189
_space_group_name_Hall 'P -6 -2'
_cell_length_a 7.8224
_cell_length_b 7.8224
_cell_length_c 4.0188
_cell_angle_alpha 90.00
_cell_angle_beta 90.00
_cell_angle_gamma 120.00
loop_
_atom_site_label
_atom_site_type_symbol
_atom_site_fract_x
_atom_site_fract_y
_atom_site_fract_z
_atom_site_occupancy
Pr1 Pr 0.0000 0.5987 0.0000 1
Hg1 Hg 0.0000 0.2612 0.5000 1
Pd1 Pd 0.0000 0.0000 0.0000 1
Pd2 Pd 0.3333 0.6667 0.5000 1